No. 1
ZrSc2Pd9 after structural relaxation. Source: the Alexandria database, functional PBE.

```
ZrSc2Pd9
1.0
4.017 0.000 0.000
0.000 4.017 0.000
0.000 0.000 12.051
Zr Sc Pd
1 2 9
Direct
0.000 0.000 0.000
0.000 0.000 0.336
0.000 0.000 0.664
0.500 0.500 0.000
0.500 0.500 0.333
0.500 0.500 0.667
0.500 0.000 0.166
0.500 0.000 0.500
0.500 0.000 0.834
0.000 0.500 0.166
0.000 0.500 0.500
0.000 0.500 0.834
```

Values from the calculation:
formation enthalpy at 0 K: -0.840 eV per atom
total magnetization: 0.00 μB/cell

No. 2
Zr3ScPd4 after structural relaxation. Source: the Alexandria database, functional PBE.

```
Zr3ScPd4
1.0
-4.060 -2.237 0.520
1.628 -2.056 3.857
-1.172 7.362 1.605
Sc Pd Zr
1 4 3
Direct
0.500 0.000 0.000
0.380 0.380 0.760
0.620 0.620 0.240
0.120 0.120 0.240
0.880 0.880 0.760
0.000 0.500 0.000
0.748 0.248 0.495
0.252 0.752 0.505
```

Values from the calculation:
formation enthalpy at 0 K: -0.658 eV per atom
total magnetization: 0.00 μB/cell

What is the formula in the second record? Zr3ScPd4